Density functional theory data (SCAN) for KBe2 at its PBEsol-relaxed geometry.

Calculated values
The total energy comes out at -4.7570 eV per atom. The calculated formation energy is 0.922 eV/atom. As for the symmetry: P6/mmm, No. 191. The value obtained for the total magnetic moment is 0.1 μB/cell.

Cell and atoms, written as extended XYZ:
```
3
Lattice="3.804 0.000 0.000 -1.902 3.295 0.000 0.000 0.000 5.358" Properties=species:S:1:pos:R:3 pbc="T T T"
K 0.000 0.000 0.000
Be 0.000 2.196 2.679
Be 1.902 1.098 2.679
```